{"formula": "B2RuRh", "functional": "PBE", "state": "relaxed", "lattice_angstrom": [[2.950, 0.000, 0.000], [1.475, 2.555, 0.000], [1.475, 0.852, 5.546]], "species": ["B", "B", "Ru", "Rh"], "fractional_positions": [[0.247, 0.247, 0.258], [0.085, 0.085, 0.745], [0.499, 0.499, 0.503], [0.669, 0.669, 0.994]], "ef_ev_per_atom": -0.16, "e_above_lowest_polymorph_mev_per_atom": 0, "dos_ef_per_ev_fu": 0.86, "crystal_system": "trigonal", "volume_a3_per_atom": 10.4, "magnetic_moment_mub_per_cell": 0.000}

---

{"formula": "NiTeOs2", "functional": "PBE", "state": "relaxed", "lattice_angstrom": [[-2.735, 3.516, 0.746], [-2.784, 1.700, 3.123], [3.075, 3.053, 2.395]], "species": ["Ni", "Os", "Os", "Te"], "fractional_positions": [[0.250, 0.250, 0.250], [0.505, 0.505, 0.469], [0.995, 0.995, 0.031], [0.750, 0.750, 0.750]], "e_form_raw_ev_per_fu": 2.36, "dos_ef_per_ev_fu": 3.72, "crystal_system": "monoclinic", "volume_a3_per_atom": 15.5, "magnetic_moment_mub_per_cell": 0.000}

---

{"formula": "Cs4Pa3MoN8", "functional": "PBE", "state": "relaxed", "lattice_angstrom": [[-6.208, 1.852, -2.801], [-3.729, -1.963, 6.968], [5.187, 4.756, 0.541]], "species": ["N", "N", "N", "N", "N", "N", "N", "N", "Pa", "Pa", "Pa", "Mo", "Cs", "Cs", "Cs", "Cs"], "fractional_positions": [[0.715, 0.646, 0.431], [0.285, 0.354, 0.569], [0.793, 0.355, 0.062], [0.207, 0.645, 0.938], [0.731, 0.645, 0.938], [0.793, 0.355, 0.586], [0.207, 0.645, 0.414], [0.269, 0.355, 0.062], [0.500, 0.500, 0.000], [0.500, 0.500, 0.500], [0.000, 0.500, 0.500], [0.000, 0.500, 0.000], [0.500, 0.000, 0.000], [0.500, 0.000, 0.500], [0.000, 0.000, 0.500], [0.000, 0.000, 0.000]], "e_form_raw_ev_per_fu": -12.28, "dos_ef_per_ev_fu": 3.08, "crystal_system": "trigonal", "volume_a3_per_atom": 19.0, "magnetic_moment_mub_per_cell": 0.944}

---

{"formula": "BaScSb", "functional": "PBE", "state": "relaxed", "lattice_angstrom": [[5.507, 0.000, 0.000], [2.754, 4.769, 0.000], [2.754, 1.590, 4.497]], "species": ["Sb", "Ba", "Sc"], "fractional_positions": [[0.000, 0.000, 0.000], [0.750, 0.750, 0.750], [0.500, 0.500, 0.500]], "e_form_raw_ev_per_fu": 0.98, "e_above_lowest_polymorph_mev_per_atom": 1124, "dos_ef_per_ev_fu": 6.01, "crystal_system": "cubic", "volume_a3_per_atom": 39.4, "magnetic_moment_mub_per_cell": 1.416}

---

{"formula": "LiCuGe2", "functional": "PBE", "state": "relaxed", "lattice_angstrom": [[-0.494, 3.005, -2.457], [-1.004, -2.491, -2.845], [-8.973, 0.853, -0.270]], "species": ["Cu", "Cu", "Ge", "Ge", "Ge", "Ge", "Li", "Li"], "fractional_positions": [[0.000, 0.000, 0.000], [0.750, 0.250, 0.500], [0.875, 0.877, 0.750], [0.627, 0.125, 0.250], [0.123, 0.625, 0.250], [0.375, 0.373, 0.750], [0.250, 0.750, 0.500], [0.500, 0.500, 0.000]], "ef_ev_per_atom": 0.06, "e_above_lowest_polymorph_mev_per_atom": 124, "dos_ef_per_ev_fu": 1.61, "crystal_system": "tetragonal", "volume_a3_per_atom": 16.4, "magnetic_moment_mub_per_cell": 0.000}

---

{"formula": "TaCd2Ni", "functional": "PBE", "state": "relaxed", "lattice_angstrom": [[4.604, 0.000, 0.000], [2.302, 3.987, 0.000], [2.302, 1.329, 3.759]], "species": ["Ta", "Ni", "Cd", "Cd"], "fractional_positions": [[0.750, 0.750, 0.750], [0.500, 0.500, 0.500], [0.250, 0.250, 0.250], [0.000, 0.000, 0.000]], "ef_ev_per_atom": 0.34, "e_above_lowest_polymorph_mev_per_atom": 307, "dos_ef_per_ev_fu": 2.95, "crystal_system": "cubic", "volume_a3_per_atom": 17.3, "magnetic_moment_mub_per_cell": 0.000}

---

{"formula": "Sc2SiBr", "functional": "PBE", "state": "relaxed", "lattice_angstrom": [[1.917, 0.000, 9.676], [-0.958, 1.660, 9.676], [-0.958, -1.660, 9.676]], "species": ["Sc", "Sc", "Br", "Si"], "fractional_positions": [[0.091, 0.091, 0.091], [0.909, 0.909, 0.909], [0.500, 0.500, 0.500], [0.000, 0.000, 0.000]], "e_form_raw_ev_per_fu": -0.42, "e_above_lowest_polymorph_mev_per_atom": 798, "dos_ef_per_ev_fu": 3.56, "crystal_system": "trigonal", "volume_a3_per_atom": 23.1, "magnetic_moment_mub_per_cell": 0.000}

---

{"formula": "Ce2PmDy", "functional": "PBE", "state": "relaxed", "lattice_angstrom": [[5.674, 0.000, 0.000], [2.837, 4.914, 0.000], [2.837, 1.638, 4.633]], "species": ["Pm", "Ce", "Ce", "Dy"], "fractional_positions": [[0.500, 0.500, 0.500], [0.750, 0.750, 0.750], [0.250, 0.250, 0.250], [0.000, 0.000, 0.000]], "ef_ev_per_atom": 0.26, "e_above_lowest_polymorph_mev_per_atom": 156, "dos_ef_per_ev_fu": 17.38, "crystal_system": "cubic", "volume_a3_per_atom": 32.3, "magnetic_moment_mub_per_cell": 2.585}

---

{"formula": "SrPmEu", "functional": "PBE", "state": "relaxed", "lattice_angstrom": [[3.885, 0.000, 0.000], [0.000, 3.885, 0.000], [-1.943, -1.943, 8.372]], "species": ["Sr", "Eu", "Pm"], "fractional_positions": [[0.995, 0.995, 0.990], [0.678, 0.678, 0.356], [0.327, 0.327, 0.654]], "ef_ev_per_atom": 0.10, "dos_ef_per_ev_fu": 4.24, "crystal_system": "tetragonal", "volume_a3_per_atom": 42.1, "magnetic_moment_mub_per_cell": 7.774}

---

{"formula": "LaPaIn", "functional": "PBE", "state": "relaxed", "lattice_angstrom": [[-2.292, -1.913, -0.910], [2.755, -1.173, -4.471], [0.700, -2.953, 4.444]], "species": ["Pa", "La", "In"], "fractional_positions": [[0.167, 0.333, 0.667], [0.166, 0.000, 0.000], [0.667, 0.667, 0.333]], "ef_ev_per_atom": 0.08, "e_above_lowest_polymorph_mev_per_atom": 0, "dos_ef_per_ev_fu": 4.35, "crystal_system": "hexagonal", "volume_a3_per_atom": 26.1, "magnetic_moment_mub_per_cell": 0.000}

---

{"formula": "ZrUV", "functional": "PBE", "state": "relaxed", "lattice_angstrom": [[2.720, 0.000, 0.000], [0.000, 2.720, 0.000], [-1.360, -1.360, 7.986]], "species": ["U", "Zr", "V"], "fractional_positions": [[0.127, 0.127, 0.255], [0.949, 0.949, 0.898], [0.773, 0.773, 0.547]], "ef_ev_per_atom": 0.75, "e_above_lowest_polymorph_mev_per_atom": 225, "dos_ef_per_ev_fu": 5.43, "crystal_system": "tetragonal", "volume_a3_per_atom": 19.7, "magnetic_moment_mub_per_cell": 0.560}

---

{"formula": "As2SIBr", "functional": "PBE", "state": "relaxed", "lattice_angstrom": [[5.574, 0.000, 0.000], [0.000, 5.574, 0.000], [0.000, 0.000, 5.569]], "species": ["I", "S", "As", "As", "Br"], "fractional_positions": [[0.000, 0.000, 0.000], [0.500, 0.500, 0.500], [0.500, 0.000, 0.000], [0.000, 0.500, 0.000], [0.000, 0.000, 0.500]], "e_form_raw_ev_per_fu": 6.63, "e_above_lowest_polymorph_mev_per_atom": 673, "dos_ef_per_ev_fu": 4.14, "crystal_system": "tetragonal", "volume_a3_per_atom": 34.6, "magnetic_moment_mub_per_cell": 0.647}